First-principles (GGA-PBE) data for crystalline TmAlPtRh at its relaxed geometry, as listed in Alexandria.

Cell lengths 6.484, 6.484, 6.484 Å; angles 90.00, 90.00, 90.00 degrees
Fractional coordinates of all 16 atoms:
Tm 0.000 0.000 0.000
Tm 0.000 0.500 0.500
Tm 0.500 0.000 0.500
Tm 0.500 0.500 0.000
Al 0.000 0.000 0.500
Al 0.000 0.500 0.000
Al 0.500 0.000 0.000
Al 0.500 0.500 0.500
Pt 0.250 0.250 0.750
Pt 0.250 0.750 0.250
Pt 0.750 0.250 0.250
Pt 0.750 0.750 0.750
Rh 0.250 0.250 0.250
Rh 0.250 0.750 0.750
Rh 0.750 0.250 0.750
Rh 0.750 0.750 0.250

Computed properties:
Calculated formation energy in kJ/mol of atoms: -97
Magnetic moment in μB/cell: 0.0



First-principles (GGA-PBE) data for crystalline Y2Al4Pt3Rh at its relaxed geometry, as listed in Alexandria.

Cell lengths 4.208, 4.208, 10.384 Å; angles 90.00, 90.00, 90.00 degrees
Fractional coordinates of all 10 atoms:
Y 0.000 0.500 0.246
Y 0.500 0.000 0.754
Al 0.000 0.000 0.500
Al 0.000 0.500 0.874
Al 0.500 0.000 0.126
Al 0.500 0.500 0.500
Pt 0.000 0.000 0.000
Pt 0.000 0.500 0.636
Pt 0.500 0.000 0.364
Rh 0.500 0.500 0.000

Computed properties:
Calculated formation energy in kJ/mol of atoms: -107
Magnetic moment in μB/cell: 0.0



First-principles (GGA-PBE) data for crystalline AlRu3Pt at its relaxed geometry, as listed in Alexandria.

Cell lengths 4.764, 4.764, 4.764 Å; angles 90.00, 90.00, 90.00 degrees
Fractional coordinates of all 5 atoms:
Al 0.000 0.000 0.000
Ru 0.000 0.500 0.500
Ru 0.500 0.000 0.500
Ru 0.500 0.500 0.000
Pt 0.500 0.500 0.500

Computed properties:
Calculated formation energy in kJ/mol of atoms: 171
Excess energy over the best structure of this formula in the dataset in eV per atom: 0.594
Magnetic moment in μB/cell: 4.6